Computed, not measured: crystalline Y3Zn2Cd3Ga at its relaxed geometry at the PBE-GGA level of DFT.

The structure belongs to space group P-62m (No. 189); the cell edges are 7.5637, 7.5637 and 4.0551 Å and the angles 90.00°, 90.00° and 120.00°. The distinct sites, in fractional coordinates, are Y at (0.0000, 0.4091, 0.0000), Zn at (0.3333, 0.6667, 0.5000), Cd at (0.0000, 0.7403, 0.5000) and Ga at (0.0000, 0.0000, 0.0000).

The calculation puts the total energy at -3.483 eV per atom. The mass density is 6.65 g cm⁻³.

Computed, not measured: crystalline HgBiMo at its relaxed geometry at the PBE-GGA level of DFT.

The structure belongs to space group F-43m (No. 216); the cell edges are 6.824, 6.824 and 6.824 Å and the angles 90.00°, 90.00° and 90.00°. The distinct sites, in fractional coordinates, are Hg at (0.000, 0.000, 0.000), Bi at (0.000, 0.000, 0.500) and Mo at (0.250, 0.250, 0.750).

The calculation puts the total energy at -4.304 eV per atom. The mass density is 10.57 g cm⁻³.

Computed, not measured: crystalline Th2BiPd2 at its relaxed geometry at the PBE-GGA level of DFT.

The structure belongs to space group P4/mbm (No. 127); the cell edges are 7.874, 7.874 and 3.994 Å and the angles 90.00°, 90.00° and 90.00°. The distinct sites, in fractional coordinates, are Th at (0.174, 0.326, 0.000), Bi at (0.000, 0.000, 0.500) and Pd at (0.125, 0.625, 0.500).

The calculation puts the total energy at -6.668 eV per atom. The mass density is 11.88 g cm⁻³.

Computed, not measured: crystalline TaNiSnPt at its relaxed geometry at the PBE-GGA level of DFT.

The structure belongs to space group F-43m (No. 216); the cell edges are 6.410, 6.410 and 6.410 Å and the angles 90.00°, 90.00° and 90.00°. The distinct sites, in fractional coordinates, are Ta at (0.000, 0.000, 0.000), Ni at (0.000, 0.000, 0.500), Sn at (0.250, 0.250, 0.250) and Pt at (0.250, 0.250, 0.750).

The calculation puts the polymorph energy (0 for the lowest one) at 87 meV per atom. The mass density is 13.96 g cm⁻³.